# 1
Below is PmCdMo after structural relaxation, with properties calculated at the PBE-GGA level.

Unit cell a=4.856 b=4.856 c=4.856 alpha=60.00 beta=60.00 gamma=60.00
Element x y z (fractional)
Mo 0.000 0.000 0.000
Cd 0.250 0.250 0.250
Pm 0.750 0.750 0.750

Output
M_tot	2.96	Bohr magnetons per cell
electronic total energy	-14.045	eV/cell
formation energy from the elements	236	kJ/mol of formula units
distance to the lowest polymorph of the same formula	0.0	kJ per mole of atoms

# 2
Below is SmTmPO after structural relaxation, with properties calculated at the PBE-GGA level.

Unit cell a=4.146 b=7.580 c=5.424 alpha=90.00 beta=90.00 gamma=90.00
Element x y z (fractional)
P 0.500 0.144 0.938
P 0.500 0.856 0.438
O 0.000 0.677 0.925
O 0.000 0.323 0.425
Tm 0.500 0.209 0.439
Tm 0.500 0.791 0.939
Sm 0.000 0.366 0.952
Sm 0.000 0.634 0.452

Output
M_tot	0.02	Bohr magnetons per cell
electronic total energy	-54.964	eV/cell
distance to the lowest polymorph of the same formula	11.1	kJ per mole of atoms